## TaTc2Ru (PBE)

Data for an optimized crystal structure of TaTc2Ru. Values from VASP.

The structure in Quantum ESPRESSO input format:
```
&SYSTEM
  ibrav = 0, nat = 4, ntyp = 3
/
ATOMIC_SPECIES
Tc 98.00 Tc.upf
Ru 101.07 Ru.upf
Ta 180.95 Ta.upf
ATOMIC_POSITIONS crystal
Tc 0.0126 0.0126 0.9865
Tc 0.4874 0.4874 0.5135
Ru 0.7500 0.7500 0.7500
Ta 0.2500 0.2500 0.2500
CELL_PARAMETERS angstrom
4.8781 -0.0006 -0.0075
4.0639 2.6982 -0.0075
0.7974 0.2406 4.6661
```

Properties
DFT formation energy	-0.029	eV per atom